1.
## SmBeZn2Au5 (PBE)

Data for SmBeZn2Au5 after structural relaxation.

The value obtained for the magnetic moment is 0.00 Bohr magnetons per cell. As for the raw total energy: -3.32 eV/atom. The calculation puts the formation energy from the elements at -277.7 meV per atom.

The space group is Immm (No. 71) and the conventional cell measures 4.492, 6.030 and 13.063 Å, with angles of 90.00, 90.00 and 90.00 degrees. Symmetry generates all atoms from Sm at (0.000, 0.000, 0.000), Be at (0.000, 0.000, 0.500), Zn at (0.000, 0.500, 0.198), Au at (0.000, 0.261, 0.363) and Au at (0.000, 0.500, 0.000).

2.
## Na3Ce2Pb4 (PBE)

Data for Na3Ce2Pb4 after structural relaxation.

The value obtained for the magnetic moment is 3.92 Bohr magnetons per cell. As for the raw total energy: -3.60 eV/atom. The calculation puts the formation energy from the elements at -196.8 meV per atom.

The space group is C2/m (No. 12) and the conventional cell measures 9.246, 5.342 and 10.861 Å, with angles of 90.00, 90.15 and 90.00 degrees. Symmetry generates all atoms from Na at (0.000, 0.000, 0.000), Na at (0.167, 0.500, 0.436), Ce at (0.166, 0.500, 0.793), Pb at (0.001, 0.000, 0.337) and Pb at (0.167, 0.500, 0.104).

3.
## LiSmTlPb (PBE)

Data for LiSmTlPb after structural relaxation.

The calculation puts the energy above the lowest structure with this stoichiometry at 0.19 eV/f.u. The value obtained for the magnetic moment is 0.00 Bohr magnetons per cell. As for the raw total energy: -3.51 eV/atom. The calculation puts the formation energy from the elements at -329.2 meV per atom.

The space group is F-43m (No. 216) and the conventional cell measures 7.504, 7.504 and 7.504 Å, with angles of 90.00, 90.00 and 90.00 degrees. Symmetry generates all atoms from Li at (0.000, 0.000, 0.000), Sm at (0.000, 0.000, 0.500), Tl at (0.250, 0.250, 0.750) and Pb at (0.250, 0.250, 0.250).

> The highest formation energy from the elements belongs to which entry?

Na3Ce2Pb4

> What is the formula in the third record?

LiSmTlPb

> Look up the raw total energy of the second one.

-3.60 eV/atom